(1)
Al3BRu: relaxed, GGA-PBE.

Structure (POSCAR):
```
Al3BRu
1.0
4.0934 0.0000 0.0000
0.0000 4.0934 0.0000
0.0000 0.0000 4.0934
Al B Ru
3 1 1
Cartesian
0.0000 0.0000 2.0467 Al
0.0000 2.0467 0.0000 Al
2.0467 0.0000 0.0000 Al
0.0000 0.0000 0.0000 B
2.0467 2.0467 2.0467 Ru
```

Properties
As for the total energy: -5.147 eV/atom. The value obtained for the formation energy from the elements is 0.29 eV per atom.

---

(2)
AlB3Ru: relaxed, GGA-PBE.

Structure (POSCAR):
```
AlB3Ru
1.0
3.9584 0.0000 0.0000
0.0000 3.9584 0.0000
0.0000 0.0000 3.9584
Al B Ru
1 3 1
Cartesian
0.0000 0.0000 0.0000 Al
0.0000 0.0000 1.9792 B
0.0000 1.9792 0.0000 B
1.9792 0.0000 0.0000 B
1.9792 1.9792 1.9792 Ru
```

Properties
As for the total energy: -4.552 eV/atom. The value obtained for the formation energy from the elements is 2.06 eV per atom.

---

(3)
AlB2Ru2: relaxed, GGA-PBE.

Structure (POSCAR):
```
AlB2Ru2
1.0
6.0825 0.0000 0.0000
0.0000 6.0825 0.0000
0.0000 0.0000 2.8207
Al B Ru
2 4 4
Cartesian
0.0000 0.0000 0.0000 Al
3.0413 3.0413 0.0000 Al
0.7265 2.3147 0.0000 B
2.3147 5.3560 0.0000 B
3.7678 0.7265 0.0000 B
5.3560 3.7678 0.0000 B
1.0149 4.0561 1.4104 Ru
2.0264 1.0149 1.4104 Ru
4.0561 5.0676 1.4104 Ru
5.0676 2.0264 1.4104 Ru
```

Properties
As for the total energy: -7.458 eV/atom. The value obtained for the formation energy from the elements is -0.33 eV per atom.